# MgMnBi2O6

MgMnBi2O6 after structural relaxation (PBE with a Hubbard U, Alexandria via LeMat-Bulk).

a b c (Å): 5.4304 5.7046 7.7964
angles (deg): 90.00 89.93 90.00
Site moments in Bohr magnetons follow the coordinates.
Fractional positions:
Mn1 0.0000 0.5000 0.0000  3.14
O1 0.8095 0.7830 0.9501  -0.04
O2 0.1905 0.2170 0.0499  -0.04
Bi1 0.4905 0.4439 0.2439  0.02
Bi2 0.5095 0.5561 0.7561  0.02
O3 0.3095 0.7170 0.4501  -0.04
O4 0.7051 0.3114 0.9617  -0.04
O5 0.2051 0.1887 0.4617  -0.04
Bi3 0.0095 0.9439 0.2561  0.02
Mg1 0.0000 0.5000 0.5000  0.00
Bi4 0.9905 0.0561 0.7439  0.02
O6 0.5899 0.0306 0.2596  -0.04
Mn2 0.5000 0.0000 0.5000  3.14
O7 0.0899 0.4694 0.7596  -0.04
O8 0.6905 0.2830 0.5499  -0.04
Mg2 0.5000 0.0000 0.0000  0.00
O9 0.9101 0.5306 0.2404  -0.04
O10 0.7949 0.8114 0.5383  -0.04
O11 0.4101 0.9694 0.7404  -0.04
O12 0.2949 0.6886 0.0383  -0.04

Computed properties:
- Symmetry: P2_1/c
- Raw total energy: -6.230 eV per atom